# ZrMo4P (PBE, relaxed)
# - Density of states at the Fermi level: 14.52 states/eV/cell
# - Energy of formation: 0.27 eV per atom
data_ZrMo4P
_space_group_name_H-M_alt 'F -4 3 m'
_space_group_IT_number 216
_space_group_name_Hall 'F -4 2 3'
_cell_length_a 7.457
_cell_length_b 7.457
_cell_length_c 7.457
_cell_angle_alpha 90.00
_cell_angle_beta 90.00
_cell_angle_gamma 90.00
loop_
_atom_site_label
_atom_site_type_symbol
_atom_site_fract_x
_atom_site_fract_y
_atom_site_fract_z
Zr1 Zr 0.000 0.000 0.000
Mo1 Mo 0.124 0.124 0.624
P1 P 0.250 0.250 0.250